The following is a DFT calculation (PBE) of an optimized crystal structure of Ac2NdPt.

Cell: 4.1035 4.1035 11.3487 Å, 79.58 79.58 60.00°
Site moments in Bohr magnetons follow the coordinates.
Sites, in units of the cell vectors:
Ac 0.8885 0.8885 0.3346  0.03
Nd 0.0000 0.0000 0.0000  0.25
Ac 0.1115 0.1115 0.6654  0.03
Pt 0.5000 0.5000 0.5000  0.01

Results
Size of the total moment   0.74 μB per cell
SG   R-3m
DOS at the Fermi energy   1.48 states/eV per atom
Polymorph energy (0 for the lowest one)   0.309 eV/atom
ΔE_f   -0.29 eV/atom
E   -20.2 eV/cell
Crystal system   trigonal
Mass density   8.14 g/cm3